Below is a relaxed K2Ta3S8 crystal, with properties calculated at the PBE level.

The value obtained for the calculated total energy is -0.4782 Ry/atom. The value obtained for the density of states at the Fermi level is 0.224 states/eV per atom. Its uncorrected formation energy is -1.062 eV/atom.

a = 8.6953 Å, b = 8.6953 Å, c = 6.1969 Å
α = 104.77°, β = 104.77°, γ = 48.24°
Last column: nearest neighbours and their distance in Å.
Fractional coordinates of all 13 atoms:
K 0.2457 0.2457 0.1752  6 S 3.15-3.23
K 0.7543 0.7543 0.8248  6 S 3.15-3.23
Ta 0.2328 0.7672 0.5000  6 S 2.40-2.60
Ta 0.5000 0.5000 0.0000  6 S 2.45-2.46
Ta 0.7672 0.2328 0.5000  6 S 2.40-2.60
S 0.0997 0.0997 0.4364  2 Ta 2.40
S 0.1695 0.6495 0.1105  2 Ta 2.45
S 0.3505 0.8305 0.8895  2 Ta 2.45
S 0.4075 0.4075 0.6078  3 Ta 2.46-2.60
S 0.5925 0.5925 0.3922  3 Ta 2.46-2.60
S 0.6495 0.1695 0.1105  2 Ta 2.45
S 0.8305 0.3505 0.8895  2 Ta 2.45
S 0.9003 0.9003 0.5636  2 Ta 2.40

---

Below is a relaxed KTa5S8 crystal, with properties calculated at the PBE level.

The value obtained for the calculated total energy is -0.5680 Ry/atom. The value obtained for the density of states at the Fermi level is 0.447 states/eV per atom. Its uncorrected formation energy is -1.057 eV/atom.

a = 8.9602 Å, b = 8.9602 Å, c = 9.4551 Å
α = 106.40°, β = 106.40°, γ = 21.53°
Last column: nearest neighbours and their distance in Å.
Fractional coordinates of all 14 atoms:
K 0.0000 0.0000 0.0000  6 S 3.11-3.32, 2 K 3.35
Ta 0.1765 0.1765 0.5352  6 S 2.54-2.58
Ta 0.2195 0.2195 0.9149  6 S 2.47-2.63
Ta 0.5222 0.5222 0.5336  6 S 2.40-2.64
Ta 0.7964 0.7964 0.1695  6 S 2.44-2.62
Ta 0.8237 0.8237 0.5395  6 S 2.43-2.60
S 0.0906 0.0906 0.7121  4 Ta 2.44-2.56
S 0.2553 0.2553 0.3479  5 Ta 2.51-2.62
S 0.3620 0.3620 0.0527  3 Ta 2.47
S 0.4192 0.4192 0.6896  3 Ta 2.50-2.64
S 0.5941 0.5941 0.3534  3 Ta 2.40-2.54
S 0.6553 0.6553 0.0345  3 Ta 2.44-2.47
S 0.7555 0.7555 0.7299  5 Ta 2.43-2.63
S 0.9253 0.9253 0.3868  4 Ta 2.50-2.60

---

Below is a relaxed KTa3S6 crystal, with properties calculated at the PBE level.

The value obtained for the calculated total energy is -0.5307 Ry/atom. The value obtained for the density of states at the Fermi level is 0.284 states/eV per atom. Its uncorrected formation energy is -1.079 eV/atom.

a = 11.3562 Å, b = 3.4079 Å, c = 11.7800 Å
α = 90.00°, β = 99.69°, γ = 90.00°
Last column: nearest neighbours and their distance in Å.
Fractional coordinates of all 20 atoms:
K 0.1421 0.2500 0.3216  7 S 3.19-3.34, 2 K 3.41
K 0.8579 0.7500 0.6784  7 S 3.19-3.34, 2 K 3.41
Ta 0.1491 0.2500 0.9515  6 S 2.43-2.59
Ta 0.2786 0.7500 0.7730  6 S 2.49-2.55
Ta 0.4097 0.2500 0.6035  6 S 2.38-2.59
Ta 0.5903 0.7500 0.3965  6 S 2.38-2.59
Ta 0.7214 0.2500 0.2270  6 S 2.49-2.55
Ta 0.8509 0.7500 0.0485  6 S 2.43-2.59
S 0.0826 0.7500 0.0870  3 Ta 2.53-2.59
S 0.1134 0.2500 0.7421  3 Ta 2.43-2.52
S 0.2505 0.7500 0.5540  3 Ta 2.48-2.55
S 0.3061 0.7500 0.9870  3 Ta 2.45-2.49
S 0.4265 0.2500 0.3869  3 Ta 2.51-2.59
S 0.4410 0.2500 0.8084  3 Ta 2.38-2.49
S 0.5590 0.7500 0.1916  3 Ta 2.38-2.49
S 0.5735 0.7500 0.6131  3 Ta 2.51-2.59
S 0.6939 0.2500 0.0130  3 Ta 2.45-2.49
S 0.7495 0.2500 0.4460  3 Ta 2.48-2.55
S 0.8866 0.7500 0.2579  3 Ta 2.43-2.52
S 0.9174 0.2500 0.9130  3 Ta 2.53-2.59

---

Below is a relaxed KTa4S8 crystal, with properties calculated at the PBE level.

The value obtained for the calculated total energy is -0.5243 Ry/atom. The value obtained for the density of states at the Fermi level is 0.991 states/eV per atom. The value obtained for the offset from the most stable computed form is 171 meV per atom. Its uncorrected formation energy is -0.862 eV/atom.

a = 7.3640 Å, b = 7.3640 Å, c = 7.3640 Å
α = 60.00°, β = 60.00°, γ = 60.00°
Last column: nearest neighbours and their distance in Å.
Fractional coordinates of all 13 atoms:
K 0.0000 0.0000 0.0000  4 S 2.67
Ta 0.1695 0.6102 0.6102  6 S 2.46-2.58
Ta 0.6102 0.1695 0.6102  6 S 2.46-2.58
Ta 0.6102 0.6102 0.1695  6 S 2.46-2.58
Ta 0.6102 0.6102 0.6102  6 S 2.46-2.58
S 0.3745 0.3745 0.3745  3 Ta 2.46
S 0.3745 0.3745 0.8765  3 Ta 2.46
S 0.3745 0.8765 0.3745  3 Ta 2.46
S 0.4442 0.8519 0.8519  3 Ta 2.58, 1 K 2.67
S 0.8519 0.4442 0.8519  3 Ta 2.58, 1 K 2.67
S 0.8519 0.8519 0.4442  3 Ta 2.58, 1 K 2.67
S 0.8519 0.8519 0.8519  3 Ta 2.58, 1 K 2.67
S 0.8765 0.3745 0.3745  3 Ta 2.46

---

- Number 4 is which compound?
  KTa4S8

---

- calculated total energy of number 4 (KTa4S8)?
  -0.5243 Ry/atom

---

- What is the calculated total energy in the third record?
  -0.5307 Ry/atom